{
  "formula": "La5CoRh",
  "functional": "PBE",
  "state": "relaxed",
  "formation_enthalpy_0k_ev_per_atom": -0.27,
  "lattice": [[7.483, 0.000, 0.000], [0.000, 3.996, 0.000], [-0.714, 0.000, 14.877]],
  "species": ["La", "La", "La", "La", "La", "La", "La", "La", "La", "La", "Co", "Co", "Rh", "Rh"],
  "fractional_positions": [[0.083, 0.250, 0.212], [0.119, 0.250, 0.601], [0.216, 0.750, 0.991], [0.362, 0.750, 0.412], [0.413, 0.250, 0.797], [0.587, 0.750, 0.203], [0.638, 0.250, 0.588], [0.784, 0.250, 0.009], [0.881, 0.750, 0.399], [0.917, 0.750, 0.788], [0.080, 0.250, 0.878], [0.920, 0.750, 0.122], [0.381, 0.750, 0.628], [0.619, 0.250, 0.372]]
}

---

{
  "formula": "LaCoRh",
  "functional": "PBE",
  "state": "relaxed",
  "formation_enthalpy_0k_ev_per_atom": 0.03,
  "lattice": [[0.000, 3.125, 3.125], [3.125, 0.000, 3.125], [3.125, 3.125, 0.000]],
  "species": ["La", "Co", "Rh"],
  "fractional_positions": [[0.000, 0.000, 0.000], [0.750, 0.750, 0.750], [0.500, 0.500, 0.500]]
}

---

{
  "formula": "La2CoRh2",
  "functional": "PBE",
  "state": "relaxed",
  "formation_enthalpy_0k_ev_per_atom": 0.03,
  "lattice": [[7.721, 0.000, 0.000], [0.000, 7.721, 0.000], [0.000, 0.000, 3.666]],
  "species": ["La", "La", "La", "La", "Co", "Co", "Rh", "Rh", "Rh", "Rh"],
  "fractional_positions": [[0.172, 0.328, 0.000], [0.328, 0.828, 0.000], [0.672, 0.172, 0.000], [0.828, 0.672, 0.000], [0.000, 0.000, 0.000], [0.500, 0.500, 0.000], [0.133, 0.633, 0.500], [0.367, 0.133, 0.500], [0.633, 0.867, 0.500], [0.867, 0.367, 0.500]]
}

---

{
  "formula": "LaCoRh4",
  "functional": "PBE",
  "state": "relaxed",
  "formation_enthalpy_0k_ev_per_atom": -0.04,
  "lattice": [[0.000, 3.735, 3.735], [3.735, 0.000, 3.735], [3.735, 3.735, 0.000]],
  "species": ["La", "Co", "Rh", "Rh", "Rh", "Rh"],
  "fractional_positions": [[0.000, 0.000, 0.000], [0.250, 0.250, 0.250], [0.127, 0.624, 0.624], [0.624, 0.127, 0.624], [0.624, 0.624, 0.127], [0.624, 0.624, 0.624]]
}

---

{
  "formula": "La8CoRuRh2",
  "functional": "PBE",
  "state": "relaxed",
  "formation_enthalpy_0k_ev_per_atom": -0.38,
  "lattice": [[6.698, 0.000, 0.000], [0.000, 8.474, 0.000], [-0.012, 0.000, 6.781]],
  "species": ["La", "La", "La", "La", "La", "La", "La", "La", "Co", "Ru", "Rh", "Rh"],
  "fractional_positions": [[0.219, 0.246, 0.331], [0.219, 0.754, 0.331], [0.269, 0.000, 0.823], [0.270, 0.500, 0.828], [0.730, 0.500, 0.172], [0.731, 0.000, 0.177], [0.781, 0.246, 0.669], [0.781, 0.754, 0.669], [0.000, 0.000, 0.500], [0.000, 0.500, 0.500], [0.500, 0.248, 0.000], [0.500, 0.752, 0.000]]
}

---

{
  "formula": "LaCoSi2Rh",
  "functional": "PBE",
  "state": "relaxed",
  "e_form_raw_mev_per_atom": -889,
  "lattice": [[-2.028, 2.028, 5.155], [2.028, -2.028, 5.155], [2.028, 2.028, -5.155]],
  "species": ["La", "Co", "Si", "Si", "Rh"],
  "fractional_positions": [[0.000, 0.000, 0.000], [0.250, 0.750, 0.500], [0.369, 0.369, 0.000], [0.631, 0.631, 0.000], [0.750, 0.250, 0.500]]
}

---

{
  "formula": "LaTbCoRh",
  "functional": "PBE",
  "state": "relaxed",
  "formation_enthalpy_0k_ev_per_atom": -0.36,
  "lattice": [[0.000, 3.486, 3.486], [3.486, 0.000, 3.486], [3.486, 3.486, 0.000]],
  "species": ["La", "Tb", "Co", "Rh"],
  "fractional_positions": [[0.000, 0.000, 0.000], [0.500, 0.500, 0.500], [0.250, 0.250, 0.250], [0.750, 0.750, 0.750]]
}

---

{
  "formula": "LaCo2TeRh",
  "functional": "PBE",
  "state": "relaxed",
  "e_form_raw_mev_per_atom": 275,
  "lattice": [[4.711, 0.000, 0.000], [0.000, 4.711, 0.000], [0.000, 0.000, 5.445]],
  "species": ["La", "Co", "Co", "Te", "Rh"],
  "fractional_positions": [[0.000, 0.000, 0.000], [0.000, 0.500, 0.500], [0.500, 0.000, 0.500], [0.500, 0.500, 0.000], [0.000, 0.000, 0.500]]
}